1.
The following is a DFT calculation (PBE) of a relaxed MnSb4Pd15 crystal.

a = 4.0404 Å, b = 4.0404 Å, c = 20.0397 Å
α = 90.00°, β = 90.00°, γ = 90.00°
Atoms (fractional coordinates):
Sb: 0.0000 0.0000 0.3973
Sb: 0.0000 0.0000 0.6027
Sb: 0.0000 0.0000 0.1904
Sb: 0.0000 0.0000 0.8096
Pd: 0.5000 0.0000 0.0960
Pd: 0.5000 0.5000 0.3998
Pd: 0.5000 0.0000 0.2985
Pd: 0.5000 0.0000 0.5000
Pd: 0.5000 0.0000 0.9040
Pd: 0.0000 0.5000 0.2985
Pd: 0.5000 0.5000 0.6002
Pd: 0.5000 0.5000 0.1999
Pd: 0.0000 0.5000 0.5000
Pd: 0.5000 0.5000 0.8001
Pd: 0.0000 0.5000 0.7015
Pd: 0.0000 0.5000 0.9040
Pd: 0.0000 0.5000 0.0960
Pd: 0.5000 0.5000 0.0000
Pd: 0.5000 0.0000 0.7015
Mn: 0.0000 0.0000 0.0000

Results
Space group: P4/mmm
E_form (uncorrected) (eV/atom): -0.355

2.
The following is a DFT calculation (PBE) of a relaxed Li2CrSb crystal.

a = 9.3123 Å, b = 9.3123 Å, c = 9.3123 Å
α = 20.16°, β = 20.16°, γ = 20.16°
Atoms (fractional coordinates):
Li: 0.5039 0.5039 0.5039
Li: 0.9961 0.9961 0.9961
Cr: 0.7500 0.7500 0.7500
Sb: 0.2500 0.2500 0.2500

Results
Space group: R-3m
E_form (uncorrected) (eV/atom): 0.300

3.
The following is a DFT calculation (PBE) of a relaxed Y3Pt crystal.

a = 5.2820 Å, b = 6.4040 Å, c = 3.6855 Å
α = 73.28°, β = 90.00°, γ = 114.36°
Atoms (fractional coordinates):
Y: 0.7170 0.6009 0.6995
Y: 0.1160 0.3991 0.3005
Y: 0.4164 0.0000 0.5000
Pt: 0.9173 0.0000 0.0000

Results
Space group: Immm
Energy of formation (meV per atom): -617

4.
The following is a DFT calculation (PBE) of a relaxed Ba2PbAuCl crystal.

a = 6.5029 Å, b = 4.8835 Å, c = 6.5029 Å
α = 90.00°, β = 90.00°, γ = 90.00°
Atoms (fractional coordinates):
Ba: 0.5000 0.0000 0.0000
Ba: 0.0000 0.0000 0.5000
Pb: 0.5000 0.5000 0.5000
Cl: 0.0000 0.5000 0.0000
Au: 0.0000 0.0000 0.0000

Results
Space group: P4/mmm
E_form (uncorrected) (eV/atom): -0.440

5.
The following is a DFT calculation (PBE) of a relaxed Ac2BPt4Au2 crystal.

a = 6.4889 Å, b = 6.4889 Å, c = 6.4889 Å
α = 88.15°, β = 121.08°, γ = 121.08°
Atoms (fractional coordinates):
Ac: 0.5000 0.7500 0.2500
Ac: 0.5000 0.2500 0.7500
Au: 0.0000 0.6650 0.6650
Au: 0.0000 0.3350 0.3350
Pt: 0.5380 0.7690 0.7690
Pt: 0.0000 0.7690 0.2310
Pt: 0.4620 0.2310 0.2310
Pt: 0.0000 0.2310 0.7690
B: 0.0000 0.0000 0.0000

Results
Space group: I4/mmm
Energy of formation (meV per atom): -668

6.
The following is a DFT calculation (PBE) of a relaxed LiTlF2 crystal.

a = 6.9985 Å, b = 6.9985 Å, c = 6.9985 Å
α = 33.61°, β = 33.61°, γ = 33.61°
Atoms (fractional coordinates):
F: 0.9128 0.9128 0.9128
F: 0.0872 0.0872 0.0872
Tl: 0.5000 0.5000 0.5000
Li: 0.0000 0.0000 0.0000

Results
Space group: R-3m
E_form (uncorrected) (eV/atom): -2.129
Relative energy among the computed polymorphs (meV per atom): 179

7.
The following is a DFT calculation (PBE) of a relaxed LaCdInPb crystal.

a = 4.7147 Å, b = 4.8079 Å, c = 4.9543 Å
α = 90.00°, β = 90.00°, γ = 90.00°
Atoms (fractional coordinates):
Pb: 0.5000 0.0000 0.5000
La: 0.0000 0.5000 0.5000
Cd: 0.0000 0.0000 0.0000
In: 0.5000 0.5000 0.0000

Results
Space group: Pmmm
Energy of formation (meV per atom): -436

8.
The following is a DFT calculation (PBE) of a relaxed Ta3Cu crystal.

a = 5.3524 Å, b = 9.2757 Å, c = 5.4700 Å
α = 90.00°, β = 90.00°, γ = 90.00°
Atoms (fractional coordinates):
Ta: 0.7299 0.4780 0.1304
Ta: 0.7701 0.9780 0.6304
Ta: 0.2299 0.0220 0.3696
Ta: 0.2701 0.5220 0.8696
Ta: 0.7299 0.0220 0.1304
Ta: 0.2299 0.4780 0.3696
Ta: 0.9912 0.7500 0.1334
Ta: 0.5088 0.2500 0.6334
Ta: 0.0088 0.2500 0.8666
Ta: 0.7701 0.5220 0.6304
Ta: 0.2701 0.9780 0.8696
Ta: 0.4912 0.7500 0.3666
Cu: 0.0651 0.7500 0.6215
Cu: 0.5651 0.7500 0.8785
Cu: 0.9349 0.2500 0.3785
Cu: 0.4349 0.2500 0.1215

Results
Space group: Pnma
Energy of formation (meV per atom): 144